The following is a DFT calculation (PBE) of a relaxed Sm2InS4 crystal.

## Properties
Total energy, eV per atom: -5.6179
Energy above the most stable polymorph in this dataset, eV per atom: 0.000
Uncorrected formation energy, eV per atom: -1.5199

a b c (Å): 7.0832 11.5640 4.0240
angles (deg): 90.00 90.00 90.00
Closest atoms and distances in Å follow each position.
Space group Pbam (No. 55)
Unique sites:
Sm (0.0800, 0.1771, 0.0000) [4 per cell]  6 S 2.80-2.86
In (0.0000, 0.5000, 0.5000) [2 per cell]  6 S 2.64-2.73
S (0.1396, 0.7121, 0.5000) [4 per cell]  1 In 2.64, 4 Sm 2.85-2.86
S (0.2493, 0.9566, 0.0000) [4 per cell]  2 In 2.73, 2 Sm 2.80-2.82